Below is a geometry-optimized MgMoN2 structure, with properties calculated at the PBE level.

The structure in POSCAR format:
```
MgMoN2
1.0
3.4067 -0.1875 -0.0050
-1.8667 2.8560 0.0036
-0.0100 0.0011 5.4752
Mg Mo N
1 1 2
Cartesian
1.5242 1.3105 3.7637 Mg
-0.0985 2.2450 1.1486 Mo
-0.1373 2.2693 3.0081 N
1.5088 1.3166 0.3934 N
```

* raw total energy: -7.700 eV/atom
* volume: 51 Å³ per cell
* SG: Cm, No. 8
* total magnetization: 0.00 μB per cell
* DOS(E_F): 1.12 states/eV/f.u.

Below is a geometry-optimized MgMoN2 structure, with properties calculated at the PBE level.

The structure in POSCAR format:
```
MgMoN2
1.0
-0.1178 -4.7231 0.1987
3.2334 -0.2255 -3.4431
4.9808 -2.4246 1.5891
Mg N Mo
2 4 2
Cartesian
4.8860 -2.5622 -1.7381 Mg
1.5578 -2.4743 -1.6222 Mg
4.8160 -3.6680 0.0688 N
1.5726 -3.7147 0.0965 N
3.2546 -1.2090 -1.7352 N
6.5497 -6.1545 -1.7407 N
0.0000 0.0000 0.0000 Mo
3.2104 -4.8110 0.0828 Mo
```

* raw total energy: -7.673 eV/atom
* volume: 105 Å³ per cell
* SG: I-42d, No. 122
* total magnetization: 0.00 μB per cell
* DOS(E_F): 1.09 states/eV/f.u.

Below is a geometry-optimized Mg3Nb3MoN8 structure, with properties calculated at the PBE level.

The structure in POSCAR format:
```
Mg3Nb3MoN8
1.0
-3.5827 1.8561 -4.5964
-1.9732 -4.3076 3.8680
0.4849 5.9323 2.0176
Mg N Nb Mo
3 8 3 1
Cartesian
0.0000 0.0000 0.0000 Mg
-0.9866 -2.1538 1.9340 Mg
-2.7780 -1.2258 -0.3642 Mg
-1.4452 2.7173 2.2239 N
-4.2976 1.4587 1.8500 N
-2.4583 0.5058 4.2097 N
-0.7735 2.0220 -0.5607 N
-1.7662 -0.1973 1.2972 N
-2.6128 2.9749 -2.9204 N
-3.3048 3.6781 -0.0079 N
-3.6258 0.7634 -0.9346 N
-0.7442 0.8123 2.9428 Nb
-2.5355 1.7404 0.6446 Nb
-1.5489 3.8942 -1.2894 Nb
0.2425 2.9661 1.0088 Mo
```

* raw total energy: -8.264 eV/atom
* volume: 168 Å³ per cell
* SG: R-3m, No. 166
* total magnetization: 0.00 μB per cell
* DOS(E_F): 6.62 states/eV/f.u.

Below is a geometry-optimized NdMg2MoN4 structure, with properties calculated at the PBE level.

The structure in POSCAR format:
```
NdMg2MoN4
1.0
3.3089 0.0000 0.0000
-1.6544 6.0165 0.0000
0.0000 0.0000 10.8217
N Mo Mg Nd
8 2 4 2
Cartesian
0.0000 0.0000 5.4108 N
0.0000 3.4514 1.2990 N
0.0000 4.9518 8.1162 N
0.0000 0.0000 0.0000 N
0.0000 3.4514 4.1118 N
1.6544 2.5650 6.7098 N
1.6544 1.0647 2.7054 N
1.6544 2.5650 9.5226 N
0.0000 2.3299 2.7054 Mo
1.6544 3.6866 8.1162 Mo
0.0000 4.7147 10.4807 Mg
1.6544 1.3018 5.0699 Mg
1.6544 1.3018 0.3410 Mg
0.0000 4.7147 5.7518 Mg
0.0000 0.8210 8.1162 Nd
1.6544 5.1955 2.7054 Nd
```

* raw total energy: -7.217 eV/atom
* volume: 215 Å³ per cell
* SG: Cmcm, No. 63
* total magnetization: 0.00 μB per cell
* DOS(E_F): 1.38 states/eV/f.u.